The following is a PBE calculation of a relaxed structure of H5Rh3, from Alexandria via LeMat-Bulk.

Cell: 5.589 5.776 5.042 Å, 74.20 56.34 60.57°
Element x y z (fractional)
Rh 0.689 0.500 0.122
Rh 0.311 0.500 0.878
Rh 0.021 0.250 0.500
Rh 0.296 0.000 0.907
Rh 0.703 0.000 0.093
Rh 0.978 0.751 0.500
H 0.897 0.034 0.257
H 0.667 0.367 0.500
H 0.654 0.034 0.743
H 0.345 0.967 0.257
H 0.332 0.634 0.500
H 0.131 0.343 0.793
H 0.423 0.344 0.207
H 0.103 0.967 0.743
H 0.868 0.657 0.207
H 0.576 0.657 0.793

Properties
- Total energy: -4.78 eV per atom
- N(E_F): 12.0 states/eV/cell